# NaGaMoF6, optimized geometry, DFT PBE+U
# - mass density (g cm⁻³) = 4.08
# - uncorrected energy (eV for the cell shown) = -88.10
# - total moment (μB/f.u.) = 2.00
data_NaGaMoF6
_chemical_formula_sum 'Na2 Ga2 Mo2 F12'
_symmetry_space_group_name_H-M 'P 42 n m'
_symmetry_Int_Tables_number 102
_symmetry_space_group_name_Hall 'P 4n -2n'
_cell_length_a 4.975
_cell_length_b 4.975
_cell_length_c 9.951
_cell_angle_alpha 90.00
_cell_angle_beta 90.00
_cell_angle_gamma 90.00
loop_
_atom_site_label
_atom_site_type_symbol
_atom_site_fract_x
_atom_site_fract_y
_atom_site_fract_z
Na1 Na 0.000 0.000 0.000
Ga1 Ga 0.000 0.000 0.334
Mo1 Mo 0.000 0.000 0.669
F1 F 0.182 0.182 0.481
F2 F 0.186 0.186 0.190
F3 F 0.226 0.226 0.834